Entry 1:
A geometry-optimized ZnSn2Sb structure. Source: Alexandria via LeMat-Bulk, functional GGA-PBE.

POSCAR file:
```
ZnSn2Sb
1.0
3.828 0.000 0.000
0.000 3.828 0.000
0.000 0.000 6.856
Zn Sn Sb
1 2 1
Cartesian
0.000 0.000 0.000
1.914 1.914 1.631
1.914 1.914 5.225
0.000 0.000 3.428
```

Values from the calculation:
* space-group type: No. 123
* uncorrected formation energy: 0.145 eV/atom
* N(E_F): 1.53 states/eV per cell
* excess energy over the best structure of this formula in the dataset: 0.062 eV per atom

Entry 2:
A geometry-optimized FePAu2 structure. Source: Alexandria via LeMat-Bulk, functional GGA-PBE.

POSCAR file:
```
FePAu2
1.0
-1.517 2.217 4.750
1.517 -2.217 4.750
1.517 2.217 -4.750
Fe P Au
1 1 2
Cartesian
0.000 0.000 0.000
1.517 0.000 1.632
0.000 0.000 4.210
0.000 2.217 2.283
```

Values from the calculation:
* space-group type: No. 44
* N(E_F): 3.93 states/eV per cell
* calculated formation energy: 0.24 eV per atom

Entry 3:
A geometry-optimized ReGe2As structure. Source: Alexandria via LeMat-Bulk, functional GGA-PBE.

POSCAR file:
```
ReGe2As
1.0
-2.879 2.879 5.722
2.879 -2.879 5.722
2.879 2.879 -5.722
Re Ge As
2 4 2
Cartesian
0.000 0.000 0.000
0.000 2.879 2.861
4.319 1.325 -1.430
1.325 1.440 1.430
-1.440 1.554 4.291
1.554 1.440 7.152
2.879 0.000 2.861
0.000 0.000 5.722
```

Values from the calculation:
* space-group type: No. 122
* N(E_F): 2.16 states/eV per cell
* calculated formation energy: 0.67 eV per atom